! Ba2PaTlSe5, optimized geometry, DFT GGA-PBE; values from VASP
! * formation energy from raw total energies: -1.478 eV per atom
! * space-group type: Immm (71)
! * volume: 37.03 Å³ per atom
&SYSTEM
  ibrav = 0, nat = 9, ntyp = 4
/
ATOMIC_SPECIES
Ba 137.33 Ba.upf
Pa 231.04 Pa.upf
Tl 204.38 Tl.upf
Se 78.96 Se.upf
ATOMIC_POSITIONS crystal
Ba 0.2101 0.2101 0.0000
Ba 0.7899 0.7899 0.0000
Pa 0.0000 0.5000 0.5000
Tl 0.5000 0.0000 0.5000
Se 0.0000 0.0000 0.0000
Se 0.1070 0.3691 0.7379
Se 0.3689 0.6309 0.7379
Se 0.6311 0.3691 0.2621
Se 0.8930 0.6309 0.2621
CELL_PARAMETERS angstrom
-2.7092 3.9472 7.7911
2.7092 -3.9472 7.7911
2.7092 3.9472 -7.7911